Here is a relaxed NaWS2O8 crystal from Alexandria. Energies are from PBE with a Hubbard U.

abc: 4.936 4.936 7.882
angles: 90.00 90.00 120.00
Site moments in Bohr magnetons follow the coordinates.
Element x y z (fractional)
Na: 0.000 0.000 0.000  0.00
O: 0.365 0.299 0.326  0.01
O: 0.934 0.635 0.326  0.01
O: 0.701 0.066 0.326  0.01
O: 0.333 0.667 0.924  0.00
O: 0.635 0.701 0.674  0.01
O: 0.299 0.934 0.674  0.01
O: 0.667 0.333 0.076  0.00
O: 0.066 0.365 0.674  0.01
W: 0.000 0.000 0.500  2.77
S: 0.667 0.333 0.261  0.01
S: 0.333 0.667 0.739  0.01

Results
- magnetization (μB/f.u.) = 3.000
- crystal system = trigonal
- total DFT energy (no corrections) (hartree per atom) = -0.230